Entry 1:
Computed, not measured: CeDy5Ho4 after structural relaxation at the PBE level of DFT.

Output
Size of the total moment: 0.0 μB per formula unit
Polymorph energy (0 for the lowest one): 159 meV per atom

Cell and atoms, written as CIF:
```
data_CeDy5Ho4
_chemical_formula_sum 'Ce2 Dy10 Ho8'
_space_group_name_H-M_alt 'I 4 m m'
_space_group_IT_number 107
_space_group_name_Hall 'I 4 -2'
_cell_length_a 10.4701
_cell_length_b 10.4701
_cell_length_c 5.8309
_cell_angle_alpha 90.00
_cell_angle_beta 90.00
_cell_angle_gamma 90.00
loop_
_atom_site_label
_atom_site_type_symbol
_atom_site_fract_x
_atom_site_fract_y
_atom_site_fract_z
_atom_site_occupancy
Ce1 Ce 0.0000 0.0000 0.0000 1
Dy1 Dy 0.0000 0.0000 0.4679 1
Dy2 Dy 0.1863 0.1863 0.7614 1
Ho1 Ho 0.0000 0.3268 0.2570 1
```

Entry 2:
Computed, not measured: Nd7Cd3 after structural relaxation at the PBE level of DFT.

Output
Total energy: -37.125 eV/f.u.
Size of the total moment: 0.0 μB per formula unit

Cell and atoms, written as CIF:
```
data_Nd7Cd3
_chemical_formula_sum 'Nd14 Cd6'
_space_group_name_H-M_alt 'P 63 m c'
_space_group_IT_number 186
_space_group_name_Hall 'P 6c -2c'
_cell_length_a 10.4191
_cell_length_b 10.4191
_cell_length_c 6.8777
_cell_angle_alpha 90.00
_cell_angle_beta 90.00
_cell_angle_gamma 120.00
loop_
_atom_site_label
_atom_site_type_symbol
_atom_site_fract_x
_atom_site_fract_y
_atom_site_fract_z
_atom_site_occupancy
Nd1 Nd 0.0625 0.5312 0.0000 1
Nd2 Nd 0.1236 0.2471 0.2499 1
Nd3 Nd 0.3333 0.6667 0.3720 1
Cd1 Cd 0.2048 0.4097 0.6932 1
```

Q: size of the total moment of number 2 (Nd7Cd3)?
A: 0.0 μB per formula unit